A crystal of Sm4PdO7 relaxed with PBEsol. Source: Alexandria, functional meta-GGA SCAN.

Properties
Its density is 8.1 g cm⁻³.

a b c (Å): 6.821 7.155 7.791
angles (deg): 69.14 71.75 84.14
Space group P-1 (No. 2)
One atom of each set of equivalent atoms:
Sm1 0.135 0.358 0.355 (multiplicity 2)
Sm2 0.166 0.328 0.879 (multiplicity 2)
Sm3 0.291 0.897 0.232 (multiplicity 2)
Sm4 0.292 0.874 0.715 (multiplicity 2)
Pd1 0.500 0.500 0.000 (multiplicity 1)
Pd2 0.500 0.500 0.500 (multiplicity 1)
O1 0.007 0.290 0.676 (multiplicity 2)
O2 0.061 0.158 0.203 (multiplicity 2)
O3 0.203 0.574 0.006 (multiplicity 2)
O4 0.238 0.642 0.584 (multiplicity 2)
O5 0.344 0.040 0.901 (multiplicity 2)
O6 0.348 0.086 0.403 (multiplicity 2)
O7 0.446 0.569 0.242 (multiplicity 2)

=====

A crystal of SrPdO2 relaxed with PBEsol. Source: Alexandria, functional meta-GGA SCAN.

Properties
Its density is 7.3 g cm⁻³.

a b c (Å): 5.906 5.906 5.906
angles (deg): 90.00 90.00 90.00
Space group Fm-3m (No. 225)
One atom of each set of equivalent atoms:
Sr1 0.000 0.000 0.000 (multiplicity 4)
Pd1 0.000 0.000 0.500 (multiplicity 4)
O1 0.250 0.250 0.250 (multiplicity 8)

=====

A crystal of SrPd2O relaxed with PBEsol. Source: Alexandria, functional meta-GGA SCAN.

Properties
Its density is 6.3 g cm⁻³.

a b c (Å): 5.194 5.194 12.347
angles (deg): 90.00 90.00 90.00
Space group I4_1/amd (No. 141, origin choice 2)
One atom of each set of equivalent atoms:
Sr1 0.000 0.250 0.375 (multiplicity 4)
Pd1 0.000 0.000 0.000 (multiplicity 8)
O1 0.000 0.250 0.875 (multiplicity 4)

=====

A crystal of SrPd3O4 relaxed with PBEsol. Source: Alexandria, functional meta-GGA SCAN.

Properties
Its density is 8.0 g cm⁻³.

a b c (Å): 5.807 5.807 5.807
angles (deg): 90.00 90.00 90.00
Space group Pm-3n (No. 223)
One atom of each set of equivalent atoms:
Sr1 0.000 0.000 0.000 (multiplicity 2)
Pd1 0.000 0.250 0.500 (multiplicity 6)
O1 0.250 0.250 0.250 (multiplicity 8)

=====

A crystal of Ta3PdO relaxed with PBEsol. Source: Alexandria, functional meta-GGA SCAN.

Properties
Its density is 10.3 g cm⁻³.

a b c (Å): 4.757 4.757 4.757
angles (deg): 90.00 90.00 90.00
Space group Pm-3m (No. 221)
One atom of each set of equivalent atoms:
Ta1 0.000 0.000 0.500 (multiplicity 3)
Pd1 0.000 0.000 0.000 (multiplicity 1)
O1 0.500 0.500 0.500 (multiplicity 1)

=====

A crystal of TcPdO3 relaxed with PBEsol. Source: Alexandria, functional meta-GGA SCAN.

Properties
Its density is 7.6 g cm⁻³.

a b c (Å): 3.807 3.807 3.807
angles (deg): 90.00 90.00 90.00
Space group Pm-3m (No. 221)
One atom of each set of equivalent atoms:
Tc1 0.000 0.000 0.000 (multiplicity 1)
Pd1 0.500 0.500 0.500 (multiplicity 1)
O1 0.000 0.000 0.500 (multiplicity 3)

=====

A crystal of TiTcPd2O relaxed with PBEsol. Source: Alexandria, functional meta-GGA SCAN.

Properties
Its density is 6.7 g cm⁻³.

a b c (Å): 4.572 4.572 4.471
angles (deg): 90.00 90.00 90.00
Space group P4/mmm (No. 123)
One atom of each set of equivalent atoms:
Ti1 0.000 0.000 0.000 (multiplicity 1)
Tc1 0.000 0.000 0.500 (multiplicity 1)
Pd1 0.000 0.500 0.000 (multiplicity 2)
O1 0.500 0.500 0.500 (multiplicity 1)

=====

A crystal of TePdO2 relaxed with PBEsol. Source: Alexandria, functional meta-GGA SCAN.

Properties
Its density is 7.5 g cm⁻³.

a b c (Å): 3.3076 3.3076 18.7414
angles (deg): 90.00 90.00 120.00
Space group R-3m (No. 166, hexagonal axes)
One atom of each set of equivalent atoms:
Te1 0.0000 0.0000 0.0000 (multiplicity 3)
Pd1 0.0000 0.0000 0.5000 (multiplicity 3)
O1 0.0000 0.0000 0.1160 (multiplicity 6)

=====

A crystal of TiPdO3 relaxed with PBEsol. Source: Alexandria, functional meta-GGA SCAN.

Properties
Its density is 5.8 g cm⁻³.

a b c (Å): 3.859 3.859 3.859
angles (deg): 90.00 90.00 90.00
Space group Pm-3m (No. 221)
One atom of each set of equivalent atoms:
Ti1 0.000 0.000 0.000 (multiplicity 1)
Pd1 0.500 0.500 0.500 (multiplicity 1)
O1 0.000 0.500 0.500 (multiplicity 3)

=====

A crystal of ZrTi2PdO relaxed with PBEsol. Source: Alexandria, functional meta-GGA SCAN.

Properties
Its density is 7.1 g cm⁻³.

a b c (Å): 4.046 4.046 4.414
angles (deg): 90.00 90.00 90.00
Space group P4/mmm (No. 123)
One atom of each set of equivalent atoms:
Zr1 0.000 0.000 0.000 (multiplicity 1)
Ti1 0.000 0.500 0.500 (multiplicity 2)
Pd1 0.500 0.500 0.000 (multiplicity 1)
O1 0.000 0.000 0.500 (multiplicity 1)

=====

A crystal of TlPd3O relaxed with PBEsol. Source: Alexandria, functional meta-GGA SCAN.

Properties
Its density is 11.8 g cm⁻³.

a b c (Å): 4.240 4.240 4.240
angles (deg): 90.00 90.00 90.00
Space group Pm-3m (No. 221)
One atom of each set of equivalent atoms:
Tl1 0.000 0.000 0.000 (multiplicity 1)
Pd1 0.000 0.500 0.500 (multiplicity 3)
O1 0.500 0.500 0.500 (multiplicity 1)

=====

A crystal of TlPdO2 relaxed with PBEsol. Source: Alexandria, functional meta-GGA SCAN.

Properties
Its density is 11.7 g cm⁻³.

a b c (Å): 5.797 5.797 5.797
angles (deg): 90.00 90.00 90.00
Space group Fm-3m (No. 225)
One atom of each set of equivalent atoms:
Tl1 0.000 0.000 0.000 (multiplicity 4)
Pd1 0.000 0.000 0.500 (multiplicity 4)
O1 0.250 0.250 0.250 (multiplicity 8)

=====

Values for formation energy without anion corrections, eV/atom, ordered as above
-3.27, -1.20, -0.65, -1.35, 1.97, -0.79, 1.38, -0.36, -0.71, -1.44, -0.07, 0.02